No. 1
A plane-wave DFT calculation with PBE was carried out for a relaxed Cs3Na3MgBr8 crystal.

Cell and atoms, written as POSCAR:
```
Cs3Na3MgBr8
1.0
8.905 0.000 0.000
-4.452 7.722 -0.027
0.000 -5.122 8.286
Cs Na Mg Br
3 3 1 8
Cartesian
0.000 0.000 0.000
-2.226 3.861 -0.013
2.226 3.861 -0.013
4.452 -2.561 4.143
2.226 1.300 4.129
-2.226 1.300 4.129
0.000 -2.561 4.143
0.000 2.579 2.497
4.452 0.020 5.762
4.452 2.845 2.610
0.000 -0.246 5.648
6.905 -1.412 2.624
-2.452 4.011 5.635
2.000 -1.412 2.624
2.452 4.011 5.635
```

No. 2
A plane-wave DFT calculation with PBE was carried out for a relaxed Re2Au crystal.

Calculated values
Excess energy over the best structure of this formula in the dataset (eV/atom): 0.1166

Cell and atoms, written as POSCAR:
```
Re2Au
1.0
-3.464 3.393 -2.726
1.607 -1.154 -3.478
-5.782 -6.355 -0.563
Re Au
8 4
Cartesian
-1.571 -1.691 -1.316
-3.321 -3.610 -1.488
-0.618 -0.039 -3.725
-4.654 -4.471 -4.120
-2.985 0.355 -2.648
-7.021 -4.077 -3.043
-4.318 -0.506 -5.280
-6.068 -2.425 -5.452
-5.236 -5.683 -1.685
-2.501 -2.142 -3.898
-5.138 -1.974 -2.870
-2.403 1.567 -5.083
```

No. 3
A plane-wave DFT calculation with PBE was carried out for a relaxed TeIrW crystal.

Calculated values
Excess energy over the best structure of this formula in the dataset (eV/atom): 0.1449

Cell and atoms, written as POSCAR:
```
TeIrW
1.0
3.146 0.000 0.000
-1.573 2.621 0.000
0.000 0.000 12.972
Ir W Te
2 2 2
Cartesian
0.000 2.368 0.000
0.000 2.285 6.486
1.573 1.449 4.420
1.573 1.449 8.552
0.000 0.593 10.758
0.000 0.593 2.215
```

No. 4
A plane-wave DFT calculation with PBE was carried out for a relaxed Ba2ScAs crystal.

Cell and atoms, written as POSCAR:
```
Ba2ScAs
1.0
3.852 0.000 0.000
0.000 3.852 0.000
0.000 0.000 9.794
As Ba Sc
1 2 1
Cartesian
1.926 1.926 6.488
0.000 0.000 9.112
1.926 1.926 3.039
0.000 0.000 5.845
```

No. 5
A plane-wave DFT calculation with PBE was carried out for a relaxed VFeH2 crystal.

Cell and atoms, written as POSCAR:
```
VFeH2
1.0
0.000 2.477 2.477
2.477 0.000 2.477
2.477 2.477 0.000
H Fe V
2 1 1
Cartesian
1.238 1.238 1.238
3.715 3.715 3.715
2.477 2.477 2.477
0.000 0.000 0.000
```

No. 6
A plane-wave DFT calculation with PBE was carried out for a relaxed Li2YCl5 crystal.

Calculated values
Excess energy over the best structure of this formula in the dataset (eV/atom): 0.0342

Cell and atoms, written as POSCAR:
```
Li2YCl5
1.0
5.807 0.294 3.321
2.971 6.520 1.798
0.111 1.387 7.255
Li Y Cl
2 1 5
Cartesian
5.469 4.042 3.255
3.812 1.068 6.417
5.629 0.453 3.377
4.049 2.363 4.345
1.482 3.472 6.733
2.788 5.816 4.241
4.724 6.276 8.379
6.917 7.553 10.729
```

No. 7
A plane-wave DFT calculation with PBE was carried out for a relaxed SbP2CCl crystal.

Calculated values
Excess energy over the best structure of this formula in the dataset (eV/atom): 0.9835

Cell and atoms, written as POSCAR:
```
SbP2CCl
1.0
5.218 0.000 0.000
0.000 5.218 0.000
0.000 0.000 5.117
Sb C P Cl
1 1 2 1
Cartesian
0.000 0.000 0.000
2.609 2.609 2.559
0.000 2.609 0.000
2.609 0.000 0.000
0.000 0.000 2.559
```

No. 8
A plane-wave DFT calculation with PBE was carried out for a relaxed PrErAl4 crystal.

Cell and atoms, written as POSCAR:
```
PrErAl4
1.0
5.629 0.000 0.000
2.814 4.875 0.000
2.814 1.625 4.596
Pr Al Er
1 4 1
Cartesian
0.000 0.000 0.000
5.629 3.250 0.577
5.629 1.627 2.872
7.034 4.061 2.872
4.224 4.061 2.872
2.814 1.625 1.149
```

Taking the records one at a time from the top gives total moment values of 0.0, 0.0, 0.0, 0.6, 1.8, 0.0, 0.4, 0.0 μB/cell.
Taking the records one at a time from the top gives final energy values of -45.5, -108.7, -46.4, -16.7, -22.8, -35.3, -15.6, -27.2 eV/cell.